No. 1
Below is crystalline Er5Se5S2 at its relaxed geometry, with properties calculated at the PBE level.

symmetry = C2/m, No. 12
uncorrected formation energy = -43.97 kcal/mol of atoms

Geometry as POSCAR:
```
Er5Se5S2
1.0
3.915 0.000 0.000
-1.957 6.570 0.006
0.000 -3.127 11.436
Er Se S
5 5 2
Cartesian
0.000 0.148 4.733 Er
0.000 3.472 2.189 Er
1.957 -0.029 9.253 Er
1.957 3.294 6.709 Er
0.000 0.000 0.000 Er
1.957 1.958 0.594 Se
0.000 1.332 7.406 Se
0.000 1.484 10.848 Se
1.957 2.110 4.036 Se
1.957 -1.564 5.718 Se
0.000 -1.936 9.018 S
1.957 5.378 2.424 S
```

---

No. 2
Below is crystalline TlAgAu at its relaxed geometry, with properties calculated at the PBE level.

symmetry = I4mm, No. 107
formation enthalpy at 0 K = 0.0844 eV per atom
energy relative to the lowest polymorph listed for this composition = 85 meV per atom

Geometry as POSCAR:
```
TlAgAu
1.0
6.638 0.100 -0.106
5.811 3.211 -0.087
0.827 0.202 3.105
Au Tl Ag
1 1 1
Cartesian
4.841 1.275 1.966 Au
8.595 2.280 0.901 Tl
12.289 3.268 -0.148 Ag
```

---

| no. | energy (eV/atom) |
| --- | --- |
| 1 | -5.95 |
| 2 | -2.75 |